Version A
4
Lattice="5.553 0.000 0.000 2.776 4.809 0.000 2.776 1.603 4.534" Properties=species:S:1:pos:R:3 comment="BaAsBr2 | Alexandria | PBEsol | relaxed" n_ef_per_ev_atom=0.28 pbc="T T T"
Br 8.329 4.809 3.401
Br 2.776 1.603 1.133
As 0.000 0.000 0.000
Ba 5.553 3.206 2.267

***

Version B
8
Lattice="-1.057 4.790 1.581 -3.408 -1.869 3.384 9.340 -2.132 4.305" Properties=species:S:1:pos:R:3 comment="BaAsBr2 | Alexandria | PBEsol | relaxed" n_ef_per_ev_atom=0.66 pbc="T T T"
Br -1.089 -0.161 4.700
Br 0.179 2.746 3.659
Br 6.297 -1.316 3.998
Br 4.365 0.309 6.182
As -2.232 1.461 2.482
As 3.026 2.059 4.184
Ba 1.850 -1.270 5.086
Ba 0.000 0.000 0.000

***

Relative energies in kJ/mol of atoms: version A 0.0; version B 2.7

***

Version A
4
Lattice="-3.551 0.368 -0.919 -1.036 -0.329 -3.523 -2.954 -10.295 -0.098" Properties=species:S:1:pos:R:3 comment="BaAsBr2 | Alexandria | PBEsol | relaxed" n_ef_per_ev_atom=0.91 pbc="T T T"
As -3.771 -5.129 -2.270
Ba 0.000 0.000 0.000
Br -5.002 -2.964 -4.039
Br -2.539 -7.293 -0.501

***

Version B
4
Lattice="4.378 0.000 0.000 0.000 4.995 0.000 0.000 0.000 4.995" Properties=species:S:1:pos:R:3 comment="BaAsBr2 | Alexandria | PBEsol | relaxed" n_ef_per_ev_atom=0.68 pbc="T T T"
Br 0.000 2.497 0.000
Br 0.000 0.000 2.497
As 2.189 2.497 2.497
Ba 2.189 0.000 0.000

***

Relative energies in kJ/mol of atoms: version A 84.6; version B 0.0

***

Version A
4
Lattice="4.345 0.000 0.003 0.000 5.398 0.000 -0.003 0.000 5.527" Properties=species:S:1:pos:R:3 comment="Ba2CdAs | Alexandria | PBEsol | relaxed" n_ef_per_ev_atom=0.35 pbc="T T T"
Ba 3.802 2.699 1.969
Ba 3.799 0.000 4.960
Cd 1.629 0.000 2.289
As 1.626 2.699 4.609

***

Version B
4
Lattice="5.606 0.000 0.000 2.803 4.855 0.000 2.803 1.618 4.577" Properties=species:S:1:pos:R:3 comment="Ba2CdAs | Alexandria | PBEsol | relaxed" n_ef_per_ev_atom=0.96 pbc="T T T"
As 5.606 3.236 2.288
Ba 8.408 4.855 3.433
Ba 0.000 0.000 0.000
Cd 2.803 1.618 1.144

***

Relative energies in kJ/mol of atoms: version A 0.0; version B 40.7

***

Version A
4
Lattice="4.679 0.000 0.000 0.000 4.826 0.000 -2.339 0.000 6.067" Properties=species:S:1:pos:R:3 comment="Ba2HgAs | Alexandria | PBEsol | relaxed" n_ef_per_ev_atom=0.60 pbc="T T T"
Ba 2.339 2.413 2.919
Ba 0.000 0.000 0.106
Hg 0.000 2.413 5.517
As 0.000 0.000 3.592

***

Version B
4
Lattice="-3.684 2.941 -0.118 -2.177 0.889 -4.087 -7.020 -5.015 -0.072" Properties=species:S:1:pos:R:3 comment="Ba2HgAs | Alexandria | PBEsol | relaxed" n_ef_per_ev_atom=0.72 pbc="T T T"
Ba -3.023 -0.052 -1.121
Ba -9.857 -1.133 -3.156
As 0.000 0.000 0.000
Hg -6.440 -0.592 -2.139

***

Relative energies in kJ/mol of atoms: version A 0.0; version B 6.6